No. 1
Be2Co4SiGe: optimized geometry, PBE-GGA.

Cell: 6.6540 6.6540 6.6540 Å, 33.49 33.49 33.49°
Closest atoms and distances in Å follow each position.
Positions (direct):
Be: 0.2478 0.2478 0.2478  8 Co 2.28-2.43
Be: 0.7522 0.7522 0.7522  8 Co 2.28-2.43
Co: 0.1265 0.1265 0.1265  4 Be 2.28-2.34, 3 Si 2.34, 1 Ge 2.38
Co: 0.3770 0.3770 0.3770  1 Si 2.32, 4 Be 2.35-2.43, 3 Ge 2.36
Co: 0.6230 0.6230 0.6230  1 Si 2.32, 4 Be 2.35-2.43, 3 Ge 2.36
Co: 0.8735 0.8735 0.8735  4 Be 2.28-2.34, 3 Si 2.34, 1 Ge 2.38
Si: 0.5000 0.5000 0.5000  8 Co 2.32-2.34
Ge: 0.0000 0.0000 0.0000  8 Co 2.36-2.38

Summary:
* formation energy (no corrections): -0.4531 eV per atom
* total magnetization: 0.00 μB/f.u.
* V: 80 Å³/cell

***

No. 2
ZrInFe2Ag: optimized geometry, PBE-GGA.

Cell: 4.7391 4.7391 5.2133 Å, 90.00 90.00 90.00°
Closest atoms and distances in Å follow each position.
Positions (direct):
Zr: 0.0000 0.0000 0.0000  2 In 2.61
In: 0.0000 0.0000 0.5000  4 Fe 2.37, 2 Zr 2.61
Fe: 0.0000 0.5000 0.5000  2 In 2.37
Fe: 0.5000 0.0000 0.5000  2 In 2.37
Ag: 0.5000 0.5000 0.0000  4 Zr 3.35, 8 Fe 3.52

Summary:
* total magnetization: 0.34 μB/f.u.
* V: 117 Å³/cell
* formation energy from the elements: 1739 meV per atom

***

No. 3
ThZrSe3: optimized geometry, PBE-GGA.

Cell: 7.7355 7.7355 8.6897 Å, 90.72 90.72 29.13°
Closest atoms and distances in Å follow each position.
Positions (direct):
Th: 0.1087 0.1087 0.0962  8 Se 2.97-3.14
Th: 0.8913 0.8913 0.9038  8 Se 2.97-3.14
Zr: 0.3016 0.3016 0.3730  6 Se 2.73-2.91
Zr: 0.6984 0.6984 0.6270  6 Se 2.73-2.91
Se: 0.1244 0.1244 0.4446  3 Zr 2.73, 1 Th 3.03
Se: 0.2462 0.2462 0.8381  2 Zr 2.76, 3 Th 2.97-3.06
Se: 0.4539 0.4539 0.1677  1 Zr 2.91, 4 Th 3.10-3.14, 1 Se 3.24
Se: 0.5461 0.5461 0.8323  1 Zr 2.91, 4 Th 3.10-3.14, 1 Se 3.24
Se: 0.7538 0.7538 0.1619  2 Zr 2.76, 3 Th 2.97-3.06
Se: 0.8756 0.8756 0.5554  3 Zr 2.73, 1 Th 3.03

Summary:
* formation energy (no corrections): -1.5205 eV per atom
* total magnetization: 0.00 μB/f.u.
* V: 253 Å³/cell

***

No. 4
TaHF3: optimized geometry, PBE-GGA.

Cell: 3.5963 3.5963 3.5963 Å, 90.00 90.00 90.00°
Closest atoms and distances in Å follow each position.
Positions (direct):
Ta: 0.0000 0.0000 0.0000  12 F 2.54
H: 0.5000 0.5000 0.5000  6 F 1.80
F: 0.0000 0.5000 0.5000  2 H 1.80
F: 0.5000 0.0000 0.5000  2 H 1.80
F: 0.5000 0.5000 0.0000  2 H 1.80

Summary:
* polymorph energy (0 for the lowest one): 956 meV/atom
* total magnetization: 2.51 μB/f.u.
* V: 47 Å³/cell

***

No. 5
RbPm3Ir: optimized geometry, PBE-GGA.

Cell: 5.7173 5.7173 5.7173 Å, 90.00 90.00 90.00°
Closest atoms and distances in Å follow each position.
Positions (direct):
Rb: 0.0000 0.0000 0.0000  12 Pm 4.04
Pm: 0.0000 0.5000 0.5000  2 Ir 2.86
Pm: 0.5000 0.0000 0.5000  2 Ir 2.86
Pm: 0.5000 0.5000 0.0000  2 Ir 2.86
Ir: 0.5000 0.5000 0.5000  6 Pm 2.86

Summary:
* total magnetization: 0.00 μB/f.u.
* V: 187 Å³/cell
* formation energy from the elements: -78 meV per atom

***

No. 6
Dy5Tm5Sc: optimized geometry, PBE-GGA.

Cell: 9.7219 9.7219 6.8509 Å, 110.49 110.49 34.66°
Closest atoms and distances in Å follow each position.
Positions (direct):
Dy: 0.0000 0.0000 0.0000  2 Sc 2.90, 2 Tm 2.93
Dy: 0.3240 0.3240 0.0680  6 Tm 3.19-3.51, 2 Dy 3.35-3.51, 1 Sc 3.47
Dy: 0.3238 0.3238 0.5796  6 Tm 3.19-3.51, 2 Dy 3.35-3.51, 1 Sc 3.48
Dy: 0.6762 0.6762 0.4204  6 Tm 3.19-3.51, 2 Dy 3.35-3.51, 1 Sc 3.48
Dy: 0.6760 0.6760 0.9320  6 Tm 3.19-3.51, 2 Dy 3.35-3.51, 1 Sc 3.47
Tm: 0.1240 0.1240 0.6251  6 Dy 3.50-3.84, 4 Tm 3.52-3.60
Tm: 0.1699 0.1699 0.1706  3 Dy 2.93-3.19
Tm: 0.5000 0.5000 0.5000  2 Sc 3.43, 4 Dy 3.51, 4 Tm 3.60
Tm: 0.8301 0.8301 0.8294  3 Dy 2.93-3.19
Tm: 0.8760 0.8760 0.3749  6 Dy 3.50-3.84, 4 Tm 3.52-3.60
Sc: 0.5000 0.5000 0.0000  2 Dy 2.90

Summary:
* total magnetization: 1.18 μB/f.u.
* V: 343 Å³/cell
* formation energy from the elements: 282 meV per atom

***

No. 7
YH4Rh3: optimized geometry, PBE-GGA.

Cell: 5.3966 5.3966 5.3966 Å, 90.00 90.00 90.00°
Closest atoms and distances in Å follow each position.
Positions (direct):
Y: 0.0000 0.0000 0.0000  8 H 2.34
Y: 0.5000 0.5000 0.5000  8 H 2.34
H: 0.2500 0.2500 0.2500  3 Rh 1.91
H: 0.2500 0.2500 0.7500  3 Rh 1.91
H: 0.2500 0.7500 0.2500  3 Rh 1.91
H: 0.2500 0.7500 0.7500  3 Rh 1.91
H: 0.7500 0.2500 0.2500  3 Rh 1.91
H: 0.7500 0.2500 0.7500  3 Rh 1.91
H: 0.7500 0.7500 0.2500  3 Rh 1.91
H: 0.7500 0.7500 0.7500  3 Rh 1.91
Rh: 0.0000 0.2500 0.5000  4 H 1.91
Rh: 0.0000 0.7500 0.5000  4 H 1.91
Rh: 0.2500 0.5000 0.0000  4 H 1.91
Rh: 0.5000 0.0000 0.2500  4 H 1.91
Rh: 0.5000 0.0000 0.7500  4 H 1.91
Rh: 0.7500 0.5000 0.0000  4 H 1.91

Summary:
* VASP energy: -88.71 eV per cell
* total magnetization: 0.00 μB/f.u.
* V: 157 Å³/cell

***

No. 8
RbNaScCl5: optimized geometry, PBE-GGA.

Cell: 7.6365 7.6365 9.8530 Å, 101.14 101.14 111.21°
Closest atoms and distances in Å follow each position.
Positions (direct):
Rb: 0.1663 0.8337 0.7500  7 Cl 3.37-3.57
Rb: 0.8337 0.1663 0.2500  7 Cl 3.37-3.57
Na: 0.1860 0.8140 0.2500  4 Cl 2.66-2.69
Na: 0.8140 0.1860 0.7500  4 Cl 2.66-2.69
Sc: 0.5000 0.5000 0.0000  6 Cl 2.49-2.56
Sc: 0.5000 0.5000 0.5000  6 Cl 2.49-2.56
Cl: 0.1545 0.2563 0.9377  1 Sc 2.49, 1 Na 2.69
Cl: 0.2247 0.5954 0.4238  1 Sc 2.49, 1 Na 2.66
Cl: 0.2563 0.1545 0.4377  1 Sc 2.49, 1 Na 2.69
Cl: 0.4046 0.7753 0.0762  1 Sc 2.49, 1 Na 2.66
Cl: 0.4444 0.5556 0.7500  2 Sc 2.56
Cl: 0.5556 0.4444 0.2500  2 Sc 2.56
Cl: 0.5954 0.2247 0.9238  1 Sc 2.49, 1 Na 2.66
Cl: 0.7437 0.8455 0.5623  1 Sc 2.49, 1 Na 2.69
Cl: 0.7753 0.4046 0.5762  1 Sc 2.49, 1 Na 2.66
Cl: 0.8455 0.7437 0.0623  1 Sc 2.49, 1 Na 2.69

Summary:
* formation energy (no corrections): -2.0020 eV per atom
* total magnetization: 0.00 μB/f.u.
* V: 503 Å³/cell

***

No. 9
Nd8Sm6Sn: optimized geometry, PBE-GGA.

Cell: 9.4119 9.4119 6.6991 Å, 90.00 90.00 120.00°
Closest atoms and distances in Å follow each position.
Positions (direct):
Nd: 0.0405 0.2691 0.3207  1 Sn 3.20, 2 Sm 3.35-3.56, 3 Nd 3.37-3.38
Nd: 0.2286 0.9595 0.3207  1 Sn 3.20, 2 Sm 3.35-3.56, 3 Nd 3.37-3.38
Nd: 0.2691 0.2286 0.6793  1 Sn 3.20, 2 Sm 3.35-3.56, 3 Nd 3.37-3.38
Nd: 0.3333 0.6667 0.3700  3 Nd 3.38
Nd: 0.6667 0.3333 0.6300  3 Nd 3.38
Nd: 0.7309 0.7714 0.3207  1 Sn 3.20, 2 Sm 3.35-3.56, 3 Nd 3.37-3.38
Nd: 0.7714 0.0405 0.6793  1 Sn 3.20, 2 Sm 3.35-3.56, 3 Nd 3.37-3.38
Nd: 0.9595 0.7309 0.6793  1 Sn 3.20, 2 Sm 3.35-3.56, 3 Nd 3.37-3.38
Sm: 0.0935 0.4430 0.8362  1 Sm 3.31, 4 Nd 3.35-3.67
Sm: 0.3494 0.9065 0.8362  1 Sm 3.31, 4 Nd 3.35-3.67
Sm: 0.4430 0.3494 0.1638  1 Sm 3.31, 4 Nd 3.35-3.67
Sm: 0.5570 0.6506 0.8362  1 Sm 3.31, 4 Nd 3.35-3.67
Sm: 0.6506 0.0935 0.1638  1 Sm 3.31, 4 Nd 3.35-3.67
Sm: 0.9065 0.5570 0.1638  1 Sm 3.31, 4 Nd 3.35-3.67
Sn: 0.0000 0.0000 0.0000  6 Nd 3.20

Summary:
* total magnetization: 0.00 μB/f.u.
* V: 514 Å³/cell
* formation energy from the elements: 26 meV per atom

***

No. 10
PrNdCo10: optimized geometry, PBE-GGA.

Cell: 3.9404 5.0228 8.7074 Å, 90.00 90.00 90.00°
Closest atoms and distances in Å follow each position.
Positions (direct):
Pr: 0.0000 0.0000 0.0000  18 Co 2.91-3.20
Nd: 0.0000 0.5000 0.5000  18 Co 2.89-3.19
Co: 0.0000 0.0000 0.3341  6 Co 2.44-2.45
Co: 0.0000 0.0000 0.6659  6 Co 2.44-2.45
Co: 0.0000 0.5000 0.1683  6 Co 2.44-2.46
Co: 0.0000 0.5000 0.8317  6 Co 2.44-2.46
Co: 0.5000 0.0000 0.5000  8 Co 2.44-2.51
Co: 0.5000 0.2508 0.2511  8 Co 2.44-2.52
Co: 0.5000 0.2508 0.7489  8 Co 2.44-2.52
Co: 0.5000 0.5000 0.0000  8 Co 2.46-2.52
Co: 0.5000 0.7492 0.2511  8 Co 2.44-2.52
Co: 0.5000 0.7492 0.7489  8 Co 2.44-2.52

Summary:
* total magnetization: 14.05 μB/f.u.
* V: 172 Å³/cell
* formation energy from the elements: -24 meV per atom

***

No. 11
CaScInCl6: optimized geometry, PBE-GGA.

Cell: 6.9281 6.9281 13.6397 Å, 90.00 90.00 120.00°
Closest atoms and distances in Å follow each position.
Positions (direct):
Ca: 0.3333 0.6667 0.2500  6 Cl 2.75
Ca: 0.6667 0.3333 0.7500  6 Cl 2.75
Sc: 0.3333 0.6667 0.7500  6 Cl 2.52
Sc: 0.6667 0.3333 0.2500  6 Cl 2.52
In: 0.0000 0.0000 0.0000  6 Cl 3.23
In: 0.0000 0.0000 0.5000  6 Cl 3.23
Cl: 0.0258 0.3841 0.6430  1 Sc 2.52, 1 Ca 2.75
Cl: 0.0258 0.6416 0.8570  1 Sc 2.52, 1 Ca 2.75
Cl: 0.3584 0.3841 0.8570  1 Sc 2.52, 1 Ca 2.75
Cl: 0.3584 0.9742 0.6430  1 Sc 2.52, 1 Ca 2.75
Cl: 0.3841 0.0258 0.1430  1 Sc 2.52, 1 Ca 2.75
Cl: 0.3841 0.3584 0.3570  1 Sc 2.52, 1 Ca 2.75
Cl: 0.6159 0.6416 0.6430  1 Sc 2.52, 1 Ca 2.75
Cl: 0.6159 0.9742 0.8570  1 Sc 2.52, 1 Ca 2.75
Cl: 0.6416 0.0258 0.3570  1 Sc 2.52, 1 Ca 2.75
Cl: 0.6416 0.6159 0.1430  1 Sc 2.52, 1 Ca 2.75
Cl: 0.9742 0.3584 0.1430  1 Sc 2.52, 1 Ca 2.75
Cl: 0.9742 0.6159 0.3570  1 Sc 2.52, 1 Ca 2.75

Summary:
* formation energy (no corrections): -1.9388 eV per atom
* total magnetization: 0.00 μB/f.u.
* V: 567 Å³/cell

***

No. 12
B2Pd8Se: optimized geometry, PBE-GGA.

Cell: 6.4909 6.4909 6.4028 Å, 107.38 107.38 38.65°
Closest atoms and distances in Å follow each position.
Positions (direct):
B: 0.1271 0.1271 0.1702  6 Pd 2.02-2.20
B: 0.8729 0.8729 0.8298  6 Pd 2.02-2.20
Pd: 0.0527 0.0527 0.8304  2 B 2.08-2.20
Pd: 0.1715 0.1715 0.5068  1 B 2.05
Pd: 0.2916 0.2916 0.1674  1 B 2.02
Pd: 0.3922 0.3922 0.8201  2 B 2.16
Pd: 0.6078 0.6078 0.1799  2 B 2.16
Pd: 0.7084 0.7084 0.8326  1 B 2.02
Pd: 0.8285 0.8285 0.4932  1 B 2.05
Pd: 0.9473 0.9473 0.1696  2 B 2.08-2.20
Se: 0.5000 0.5000 0.5000  12 Pd 2.76-3.00

Summary:
* formation energy (no corrections): -0.1559 eV per atom
* total magnetization: 0.00 μB/f.u.
* V: 160 Å³/cell

***

No. 13
FeSiCl3: optimized geometry, PBE-GGA.

Cell: 4.9686 4.9686 4.9686 Å, 90.00 90.00 90.00°
Closest atoms and distances in Å follow each position.
Positions (direct):
Fe: 0.0000 0.0000 0.0000  12 Cl 3.51
Si: 0.5000 0.5000 0.5000  6 Cl 2.48
Cl: 0.0000 0.5000 0.5000  2 Si 2.48
Cl: 0.5000 0.0000 0.5000  2 Si 2.48
Cl: 0.5000 0.5000 0.0000  2 Si 2.48

Summary:
* polymorph energy (0 for the lowest one): 137 meV/atom
* formation energy (no corrections): 0.2212 eV per atom
* total magnetization: 4.00 μB/f.u.
* V: 123 Å³/cell

***

No. 14
Pu2GaCl: optimized geometry, PBE-GGA.

Cell: 7.0357 7.0357 7.0357 Å, 34.50 34.50 34.50°
Closest atoms and distances in Å follow each position.
Positions (direct):
Pu: 0.2435 0.2435 0.2435  3 Cl 2.85, 3 Ga 3.00
Pu: 0.7565 0.7565 0.7565  3 Cl 2.85, 3 Ga 3.00
Ga: 0.0000 0.0000 0.0000  6 Pu 3.00
Cl: 0.5000 0.5000 0.5000  6 Pu 2.85

Summary:
* polymorph energy (0 for the lowest one): 123 meV/atom
* formation energy (no corrections): -0.5318 eV per atom
* total magnetization: 11.63 μB/f.u.
* V: 100 Å³/cell

***

No. 15
CrH2Ru2: optimized geometry, PBE-GGA.

Cell: 6.0344 6.0344 6.0344 Å, 152.85 152.85 38.77°
Closest atoms and distances in Å follow each position.
Positions (direct):
Cr: 0.0000 0.0000 0.0000  8 Ru 2.56, 4 Cr 2.83
H: 0.2500 0.7500 0.5000  4 Ru 1.89, 4 H 2.00
H: 0.7500 0.2500 0.5000  4 Ru 1.89, 4 H 2.00
Ru: 0.3595 0.3595 0.0000  4 H 1.89
Ru: 0.6405 0.6405 0.0000  4 H 1.89

Summary:
* polymorph energy (0 for the lowest one): 90 meV/atom
* total magnetization: 0.00 μB/f.u.
* V: 46 Å³/cell